1.
The following is a DFT calculation (PBE) of crystalline AcDyTl2S4 at its relaxed geometry.

Cell lengths 4.2304, 7.8696, 7.3473 Å; angles 71.99, 90.00, 90.00 degrees
With the nearest neighbours (Å) after each atom.
Fractional positions:
Tl: 0.5000 0.0000 0.5000  6 S 3.23-3.24
Tl: 0.0000 0.0000 0.0000  6 S 3.37-3.39
S: 0.0000 0.2931 0.2551  1 Dy 2.78, 2 Ac 2.96
S: 0.5000 0.7001 0.2834  2 Dy 2.82, 1 Ac 2.97
S: 0.0000 0.7069 0.7449  1 Dy 2.78, 2 Ac 2.96
S: 0.5000 0.2999 0.7166  2 Dy 2.82, 1 Ac 2.97
Ac: 0.5000 0.5000 0.0000  6 S 2.96-2.97
Dy: 0.0000 0.5000 0.5000  6 S 2.78-2.82

Calculated values
For the magnetization, the calculation gives 0.00 μB per cell.



2.
The following is a DFT calculation (PBE) of crystalline Ac2DyTmS6 at its relaxed geometry.

Cell lengths 6.9259, 7.5138, 10.0999 Å; angles 90.00, 90.13, 90.00 degrees
With the nearest neighbours (Å) after each atom.
Fractional positions:
Ac: 0.0301 0.9133 0.2497  6 S 2.97-3.21
Ac: 0.9699 0.0867 0.7503  6 S 2.97-3.21
Ac: 0.5301 0.5867 0.7497  6 S 2.97-3.21
Ac: 0.4699 0.4133 0.2503  6 S 2.97-3.21
Dy: 0.0000 0.5000 0.5000  6 S 2.70-2.74
Dy: 0.5000 0.0000 0.0000  6 S 2.70-2.74
S: 0.6863 0.3102 0.9375  1 Tm 2.67, 1 Dy 2.74
S: 0.1829 0.1926 0.0629  1 Dy 2.71, 1 Tm 2.71, 1 Ac 3.02
S: 0.3753 0.9584 0.7482  1 Tm 2.67, 1 Dy 2.70, 1 Ac 2.97
S: 0.6247 0.0416 0.2518  1 Tm 2.67, 1 Dy 2.70, 1 Ac 2.97
S: 0.3171 0.6926 0.4371  1 Dy 2.71, 1 Tm 2.71, 1 Ac 3.02
S: 0.8137 0.8102 0.5625  1 Tm 2.67, 1 Dy 2.74
S: 0.1247 0.4584 0.7518  1 Tm 2.67, 1 Dy 2.70, 1 Ac 2.97
S: 0.8753 0.5416 0.2482  1 Tm 2.67, 1 Dy 2.70, 1 Ac 2.97
S: 0.8171 0.8074 0.9371  1 Dy 2.71, 1 Tm 2.71, 1 Ac 3.02
S: 0.3137 0.6898 0.0625  1 Tm 2.67, 1 Dy 2.74
S: 0.6829 0.3074 0.5629  1 Dy 2.71, 1 Tm 2.71, 1 Ac 3.02
S: 0.1863 0.1898 0.4375  1 Tm 2.67, 1 Dy 2.74
Tm: 0.0000 0.5000 0.0000  6 S 2.67-2.71
Tm: 0.5000 0.0000 0.5000  6 S 2.67-2.71

Calculated values
For the magnetization, the calculation gives 0.00 μB per cell.



3.
The following is a DFT calculation (PBE) of crystalline AcDy4TmS8 at its relaxed geometry.

Cell lengths 8.1589, 8.1589, 8.1352 Å; angles 59.90, 59.90, 60.00 degrees
With the nearest neighbours (Å) after each atom.
Fractional positions:
Dy: 0.9976 0.9976 0.4982  6 S 2.75-2.79
Dy: 0.6242 0.6242 0.1275  4 S 2.62-2.63
Dy: 0.5066 0.9976 0.4982  6 S 2.75-2.79
Dy: 0.9976 0.5066 0.4982  6 S 2.75-2.79
S: 0.7557 0.7557 0.7330  4 Dy 2.62-2.79
S: 0.2325 0.2325 0.7379  1 Tm 2.71, 2 Dy 2.75, 1 Ac 2.81
S: 0.7595 0.2289 0.2520  3 Dy 2.63-2.79, 1 Tm 2.75
S: 0.7970 0.2325 0.7379  1 Tm 2.71, 2 Dy 2.75, 1 Ac 2.81
S: 0.2289 0.7595 0.2520  3 Dy 2.63-2.79, 1 Tm 2.75
S: 0.7595 0.7595 0.2520  3 Dy 2.63-2.79, 1 Tm 2.75
S: 0.2348 0.2348 0.2957  3 Dy 2.75, 1 Ac 2.80
S: 0.2325 0.7970 0.7379  1 Tm 2.71, 2 Dy 2.75, 1 Ac 2.81
Ac: 0.3754 0.3754 0.8739  4 S 2.80-2.81
Tm: 0.9982 0.9982 0.0054  6 S 2.71-2.75

Calculated values
For the magnetization, the calculation gives 0.00 μB per cell.



4.
The following is a DFT calculation (PBE) of crystalline AcDy2TmS4 at its relaxed geometry.

Cell lengths 3.9293, 6.8570, 7.0886 Å; angles 71.40, 90.00, 90.00 degrees
With the nearest neighbours (Å) after each atom.
Fractional positions:
S: 0.0000 0.2332 0.2732  3 Dy 2.71-2.88, 1 Tm 2.79, 2 Ac 2.95
S: 0.5000 0.2466 0.7344  3 Dy 2.72-2.87, 2 Tm 2.79, 1 Ac 2.94
S: 0.0000 0.7668 0.7268  3 Dy 2.71-2.88, 1 Tm 2.79, 2 Ac 2.95
S: 0.5000 0.7534 0.2656  3 Dy 2.72-2.87, 2 Tm 2.79, 1 Ac 2.94
Dy: 0.0000 0.0000 0.0000  6 S 2.87-2.88
Dy: 0.5000 0.0000 0.5000  6 S 2.71-2.72
Tm: 0.0000 0.5000 0.5000  6 S 2.79
Ac: 0.5000 0.5000 0.0000  6 S 2.94-2.95

Calculated values
For the magnetization, the calculation gives 0.00 μB per cell.



5.
The following is a DFT calculation (PBE) of crystalline Ac2DyTmS4 at its relaxed geometry.

Cell lengths 3.9743, 6.9158, 7.4093 Å; angles 108.01, 90.00, 90.00 degrees
With the nearest neighbours (Å) after each atom.
Fractional positions:
Tm: 0.0000 0.0000 0.0000  6 S 2.74
S: 0.0000 0.2589 0.7847  1 Tm 2.74, 2 Dy 2.76, 3 Ac 3.04-3.07
S: 0.0000 0.7411 0.2153  1 Tm 2.74, 2 Dy 2.76, 3 Ac 3.04-3.07
S: 0.5000 0.2343 0.2134  2 Tm 2.74, 1 Dy 2.77, 1 Ac 3.04
S: 0.5000 0.7657 0.7866  2 Tm 2.74, 1 Dy 2.77, 1 Ac 3.04
Dy: 0.5000 0.5000 0.0000  6 S 2.76-2.77
Ac: 0.0000 0.5000 0.5000  6 S 3.07
Ac: 0.5000 0.0000 0.5000  6 S 3.04

Calculated values
For the magnetization, the calculation gives 0.00 μB per cell.



6.
The following is a DFT calculation (PBE) of crystalline Ac2DyYS6 at its relaxed geometry.

Cell lengths 7.2682, 7.2684, 7.4696 Å; angles 60.89, 60.89, 60.00 degrees
With the nearest neighbours (Å) after each atom.
Fractional positions:
S: 0.4575 0.6790 0.7646  1 Dy 2.70, 1 Y 2.78, 1 Ac 2.97
S: 0.5993 0.1786 0.2651  1 Y 2.71, 1 Dy 2.77, 1 Ac 2.97
S: 0.1786 0.9570 0.2651  1 Y 2.71, 1 Dy 2.77, 1 Ac 2.97
S: 0.0989 0.4575 0.7646  1 Dy 2.70, 1 Y 2.78, 1 Ac 2.97
S: 0.6790 0.0988 0.7646  1 Dy 2.70, 1 Y 2.78, 1 Ac 2.97
S: 0.9570 0.5993 0.2651  1 Y 2.71, 1 Dy 2.77, 1 Ac 2.97
Ac: 0.5301 0.5301 0.4097  6 S 2.97-3.06
Ac: 0.0300 0.0300 0.9099  6 S 2.97-3.05
Dy: 0.8156 0.8156 0.5533  6 S 2.70-2.77
Y: 0.3156 0.3156 0.0532  6 S 2.71-2.78

Calculated values
For the magnetization, the calculation gives 0.00 μB per cell.



7.
The following is a DFT calculation (PBE) of crystalline AcDy4YS8 at its relaxed geometry.

Cell lengths 8.1667, 8.1667, 8.1718 Å; angles 60.02, 60.02, 60.00 degrees
With the nearest neighbours (Å) after each atom.
Fractional positions:
S: 0.7565 0.7565 0.7306  4 Dy 2.63-2.79
S: 0.7558 0.7558 0.2571  3 Dy 2.63-2.79, 1 Y 2.80
S: 0.7958 0.2351 0.7340  2 Dy 2.75, 1 Y 2.76, 1 Ac 2.81
S: 0.2314 0.7558 0.2571  3 Dy 2.63-2.79, 1 Y 2.80
S: 0.2351 0.7958 0.7340  2 Dy 2.75, 1 Y 2.76, 1 Ac 2.81
S: 0.7558 0.2314 0.2571  3 Dy 2.63-2.79, 1 Y 2.80
S: 0.2351 0.2351 0.7340  2 Dy 2.75, 1 Y 2.76, 1 Ac 2.81
S: 0.2346 0.2346 0.2962  3 Dy 2.75, 1 Ac 2.81
Dy: 0.9979 0.9979 0.4977  6 S 2.75-2.79
Dy: 0.5065 0.9979 0.4977  6 S 2.75-2.79
Dy: 0.9979 0.5065 0.4977  6 S 2.75-2.79
Dy: 0.6252 0.6252 0.1245  4 S 2.63
Ac: 0.3749 0.3749 0.8754  4 S 2.81
Y: 0.9977 0.9977 0.0068  6 S 2.76-2.80

Calculated values
For the magnetization, the calculation gives 0.00 μB per cell.



8.
The following is a DFT calculation (PBE) of crystalline Ac2DyZrS6 at its relaxed geometry.

Cell lengths 7.2916, 7.2918, 7.4182 Å; angles 120.59, 120.59, 91.20 degrees
With the nearest neighbours (Å) after each atom.
Fractional positions:
S: 0.6606 0.6611 0.4816  1 Zr 2.61, 1 Dy 2.68
S: 0.2390 0.7485 0.9707  1 Zr 2.56, 1 Dy 2.66
S: 0.7879 0.7884 0.0550  1 Zr 2.63, 1 Dy 2.72
S: 0.1424 0.1429 0.7989  1 Zr 2.56, 1 Dy 2.68
S: 0.7479 0.2394 0.9706  1 Zr 2.56, 1 Dy 2.66
S: 0.2968 0.2974 0.4682  1 Zr 2.57, 1 Dy 2.77
Zr: 0.9966 0.9971 0.9697  6 S 2.56-2.63
Dy: 0.4869 0.4874 0.9862  6 S 2.66-2.77
Ac: 0.3554 0.7859 0.6485  6 S 3.01-3.07
Ac: 0.7854 0.3560 0.6485  6 S 3.01-3.07

Calculated values
For the magnetization, the calculation gives 0.00 μB per cell.



9.
The following is a DFT calculation (PBE) of crystalline Ac2DySb3 at its relaxed geometry.

Cell lengths 8.0856, 8.0856, 8.0806 Å; angles 99.63, 99.63, 120.01 degrees
With the nearest neighbours (Å) after each atom.
Fractional positions:
Sb: 0.0640 0.3973 0.2315  2 Dy 3.19, 4 Ac 3.30-3.39
Sb: 0.7580 0.7455 0.2357  2 Dy 3.18-3.20, 4 Ac 3.32-3.41
Sb: 0.6027 0.9360 0.7685  2 Dy 3.19, 4 Ac 3.30-3.39
Sb: 0.4122 0.0914 0.2357  2 Dy 3.18-3.20, 4 Ac 3.32-3.41
Sb: 0.2545 0.2420 0.7643  2 Dy 3.18-3.20, 4 Ac 3.32-3.41
Sb: 0.9086 0.5878 0.7643  2 Dy 3.18-3.20, 4 Ac 3.32-3.41
Dy: 0.0014 0.9986 0.0000  6 Sb 3.18-3.20
Dy: 0.6652 0.3348 0.0000  6 Sb 3.18-3.20
Ac: 0.4964 0.5036 0.5000  6 Sb 3.32-3.41
Ac: 0.1703 0.8297 0.5000  6 Sb 3.32-3.41
Ac: 0.3333 0.6667 0.0000  6 Sb 3.31-3.32
Ac: 0.8333 0.1667 0.5000  6 Sb 3.30-3.40

Calculated values
For the magnetization, the calculation gives 0.00 μB per cell.



10.
The following is a DFT calculation (PBE) of crystalline AcDy4Sb5 at its relaxed geometry.

Cell lengths 4.4638, 6.3520, 11.8229 Å; angles 105.58, 100.88, 90.00 degrees
With the nearest neighbours (Å) after each atom.
Fractional positions:
Ac: 0.0000 0.0000 0.0000  6 Sb 3.18-3.30
Dy: 0.2045 0.2045 0.4091  6 Sb 3.09-3.18
Dy: 0.3988 0.3988 0.7975  6 Sb 3.12-3.18
Dy: 0.7955 0.7955 0.5909  6 Sb 3.09-3.18
Dy: 0.6012 0.6012 0.2025  6 Sb 3.12-3.18
Sb: 0.3910 0.8910 0.7821  4 Dy 3.09-3.18, 2 Ac 3.30
Sb: 0.6090 0.1090 0.2179  4 Dy 3.09-3.18, 2 Ac 3.30
Sb: 0.0000 0.5000 0.0000  2 Ac 3.18, 4 Dy 3.18
Sb: 0.8014 0.3014 0.6028  6 Dy 3.11-3.18
Sb: 0.1986 0.6986 0.3972  6 Dy 3.11-3.18

Calculated values
For the magnetization, the calculation gives 0.00 μB per cell.



11.
The following is a DFT calculation (PBE) of crystalline AcDySb2 at its relaxed geometry.

Cell lengths 4.1143, 4.1143, 7.1342 Å; angles 90.00, 90.00, 90.00 degrees
With the nearest neighbours (Å) after each atom.
Fractional positions:
Sb: 0.0000 0.0000 0.2741  1 Sb 3.22, 4 Dy 3.33, 4 Ac 3.51
Sb: 0.0000 0.0000 0.7259  1 Sb 3.22, 4 Dy 3.33, 4 Ac 3.51
Ac: 0.5000 0.5000 0.0000  8 Sb 3.51, 2 Dy 3.57
Dy: 0.5000 0.5000 0.5000  8 Sb 3.33, 2 Ac 3.57

Calculated values
For the magnetization, the calculation gives 0.00 μB per cell. The relative energy among the computed polymorphs comes out at 292.2 meV per atom.



12.
The following is a DFT calculation (PBE) of crystalline AcDySb2 at its relaxed geometry.

Cell lengths 3.5259, 5.8828, 5.8828 Å; angles 90.00, 90.00, 90.00 degrees
With the nearest neighbours (Å) after each atom.
Fractional positions:
Sb: 0.0000 0.5000 0.0000  4 Ac 3.43, 4 Dy 3.43, 2 Sb 3.53
Sb: 0.0000 0.0000 0.5000  4 Ac 3.43, 4 Dy 3.43, 2 Sb 3.53
Dy: 0.5000 0.0000 0.0000  8 Sb 3.43, 2 Dy 3.53
Ac: 0.5000 0.5000 0.5000  8 Sb 3.43, 2 Ac 3.53

Calculated values
For the magnetization, the calculation gives 0.00 μB per cell. The relative energy among the computed polymorphs comes out at 328.1 meV per atom.



Computed values of raw formation energy (unit: eV/atom) for the preceding records, in sequence: -1.47, -2.16, -1.92, -1.93, -1.98, -2.11, -1.93, -1.88, -1.16, -1.11, -0.86, -0.82.
Computed values of total DFT energy (no corrections) (unit: eV/cell) for the preceding records, in sequence: -41.7, -127.3, -86.9, -49.7, -49.6, -65.2, -89.0, -65.0, -64.3, -54.3, -20.4, -20.3.